No. 1
# GGA-PBE Pm2CuRe, relaxed
data_Pm2CuRe
_cell_length_a 7.063
_cell_length_b 7.063
_cell_length_c 7.063
_cell_angle_alpha 90.00
_cell_angle_beta 90.00
_cell_angle_gamma 90.00
_symmetry_space_group_name_H-M 'F m -3 m'
_symmetry_Int_Tables_number 225
_symmetry_space_group_name_Hall '-F 4 2 3'
loop_
_atom_site_label
_atom_site_type_symbol
_atom_site_fract_x
_atom_site_fract_y
_atom_site_fract_z
Pm1 Pm 0.250 0.250 0.250
Cu1 Cu 0.000 0.000 0.000
Re1 Re 0.000 0.000 0.500
# Spin magnetization ... 0.00 μB per formula unit
# Formation energy ... 0.16 eV per atom


No. 2
# GGA-PBE PmThCuRe, relaxed
data_PmThCuRe
_cell_length_a 7.113
_cell_length_b 7.113
_cell_length_c 7.113
_cell_angle_alpha 90.00
_cell_angle_beta 90.00
_cell_angle_gamma 90.00
_symmetry_space_group_name_H-M 'F -4 3 m'
_symmetry_Int_Tables_number 216
_symmetry_space_group_name_Hall 'F -4 2 3'
loop_
_atom_site_label
_atom_site_type_symbol
_atom_site_fract_x
_atom_site_fract_y
_atom_site_fract_z
Pm1 Pm 0.000 0.000 0.000
Th1 Th 0.000 0.000 0.500
Cu1 Cu 0.250 0.250 0.750
Re1 Re 0.250 0.250 0.250
# Spin magnetization ... 0.00 μB per formula unit
# Formation energy ... 0.05 eV per atom


> Which of these has the lowest formation energy?

PmThCuRe